## MgAgHgBi (GGA-PBE)

Data for MgAgHgBi after structural relaxation.

Results
DOS at the Fermi energy ... 4.3 states/eV/cell
Size of the total moment ... 0.00 Bohr magnetons per cell
Uncorrected energy ... -2.191 eV/atom
Energy relative to the elements ... -13 kJ/mol of formula units

CIF file:
```
data_MgAgHgBi
_cell_length_a 7.233
_cell_length_b 7.233
_cell_length_c 7.233
_cell_angle_alpha 90.00
_cell_angle_beta 90.00
_cell_angle_gamma 90.00
_space_group_name_H-M_alt 'F -4 3 m'
_space_group_IT_number 216
_space_group_name_Hall 'F -4 2 3'
loop_
_atom_site_label
_atom_site_type_symbol
_atom_site_fract_x
_atom_site_fract_y
_atom_site_fract_z
Mg1 Mg 0.000 0.000 0.000
Ag1 Ag 0.000 0.000 0.500
Hg1 Hg 0.250 0.250 0.250
Bi1 Bi 0.250 0.250 0.750
```


## NaAgHgBi (GGA-PBE)

Data for NaAgHgBi after structural relaxation.

Results
DOS at the Fermi energy ... 11.1 states/eV/cell
Size of the total moment ... 0.00 Bohr magnetons per cell
Uncorrected energy ... -2.141 eV/atom
Energy relative to the elements ... -20 kJ/mol of formula units

CIF file:
```
data_NaAgHgBi
_cell_length_a 7.276
_cell_length_b 7.276
_cell_length_c 7.276
_cell_angle_alpha 90.00
_cell_angle_beta 90.00
_cell_angle_gamma 90.00
_space_group_name_H-M_alt 'F -4 3 m'
_space_group_IT_number 216
_space_group_name_Hall 'F -4 2 3'
loop_
_atom_site_label
_atom_site_type_symbol
_atom_site_fract_x
_atom_site_fract_y
_atom_site_fract_z
Na1 Na 0.000 0.000 0.000
Ag1 Ag 0.000 0.000 0.500
Hg1 Hg 0.250 0.250 0.750
Bi1 Bi 0.250 0.250 0.250
```


What did the first record say?
## MgAgHgBi (GGA-PBE)

Data for MgAgHgBi after structural relaxation.

Results
DOS at the Fermi energy ... 4.3 states/eV/cell
Size of the total moment ... 0.00 Bohr magnetons per cell
Uncorrected energy ... -2.191 eV/atom
Energy relative to the elements ... -13 kJ/mol of formula units

CIF file:
```
data_MgAgHgBi
_cell_length_a 7.233
_cell_length_b 7.233
_cell_length_c 7.233
_cell_angle_alpha 90.00
_cell_angle_beta 90.00
_cell_angle_gamma 90.00
_space_group_name_H-M_alt 'F -4 3 m'
_space_group_IT_number 216
_space_group_name_Hall 'F -4 2 3'
loop_
_atom_site_label
_atom_site_type_symbol
_atom_site_fract_x
_atom_site_fract_y
_atom_site_fract_z
Mg1 Mg 0.000 0.000 0.000
Ag1 Ag 0.000 0.000 0.500
Hg1 Hg 0.250 0.250 0.250
Bi1 Bi 0.250 0.250 0.750
```


Among the records above, which one has the highest uncorrected energy?
NaAgHgBi